# 1
A relaxed SrTl8Pd4 crystal. Source: Alexandria, functional PBE.

The structure in POSCAR format:
```
SrTl8Pd4
1.0
-5.0665 5.0665 3.0193
5.0665 -5.0665 3.0193
5.0665 5.0665 -3.0193
Sr Tl Pd
1 8 4
Direct
0.0000 0.0000 0.0000 Sr
0.0000 0.3383 0.3383 Tl
0.0000 0.6617 0.6617 Tl
0.2798 0.5000 0.7798 Tl
0.3383 0.0000 0.3383 Tl
0.5000 0.2798 0.7798 Tl
0.5000 0.7202 0.2202 Tl
0.6617 0.0000 0.6617 Tl
0.7202 0.5000 0.2202 Tl
0.0000 0.0000 0.5000 Pd
0.0000 0.5000 0.0000 Pd
0.5000 0.0000 0.0000 Pd
0.5000 0.5000 0.5000 Pd
```

Crystal system = tetragonal

# 2
A relaxed SrTl5Pd crystal. Source: Alexandria, functional PBE.

The structure in POSCAR format:
```
SrTl5Pd
1.0
4.9357 0.0000 0.0000
0.0000 4.9357 0.0000
0.0000 0.0000 8.0783
Sr Tl Pd
1 5 1
Direct
0.0000 0.0000 0.0000 Sr
0.0000 0.5000 0.3043 Tl
0.0000 0.5000 0.6957 Tl
0.5000 0.0000 0.3043 Tl
0.5000 0.0000 0.6957 Tl
0.5000 0.5000 0.0000 Tl
0.0000 0.0000 0.5000 Pd
```

Crystal system = tetragonal

# 3
A relaxed Sr2Tl7Pd12 crystal. Source: Alexandria, functional PBE.

The structure in POSCAR format:
```
Sr2Tl7Pd12
1.0
10.5750 0.0000 0.0000
-5.2875 9.1582 0.0000
0.0000 0.0000 4.6518
Sr Tl Pd
2 7 12
Direct
0.3333 0.6667 0.1906 Sr
0.6667 0.3333 0.8094 Sr
0.0000 0.0000 0.5000 Tl
0.1151 0.7175 0.6769 Tl
0.2825 0.3976 0.6769 Tl
0.3976 0.1151 0.3231 Tl
0.6024 0.8849 0.6769 Tl
0.7175 0.6024 0.3231 Tl
0.8849 0.2825 0.3231 Tl
0.0468 0.4345 0.8003 Pd
0.1243 0.2589 0.1736 Pd
0.1347 0.8757 0.1736 Pd
0.2589 0.1347 0.8264 Pd
0.3877 0.9532 0.8003 Pd
0.4345 0.3877 0.1997 Pd
0.5655 0.6123 0.8003 Pd
0.6123 0.0468 0.1997 Pd
0.7411 0.8653 0.1736 Pd
0.8653 0.1243 0.8264 Pd
0.8757 0.7411 0.8264 Pd
0.9532 0.5655 0.1997 Pd
```

Crystal system = trigonal

# 4
A relaxed SrTl5Pd3 crystal. Source: Alexandria, functional PBE.

The structure in POSCAR format:
```
SrTl5Pd3
1.0
2.0050 -7.5822 0.0000
2.0050 7.5822 0.0000
0.0000 0.0000 15.3019
Sr Tl Pd
2 10 6
Direct
0.1727 0.8273 0.7500 Sr
0.8273 0.1727 0.2500 Sr
0.0000 0.0000 0.0000 Tl
0.0000 0.0000 0.5000 Tl
0.2027 0.7973 0.0732 Tl
0.2027 0.7973 0.4268 Tl
0.4571 0.5429 0.6542 Tl
0.4571 0.5429 0.8458 Tl
0.5429 0.4571 0.1542 Tl
0.5429 0.4571 0.3458 Tl
0.7973 0.2027 0.5732 Tl
0.7973 0.2027 0.9268 Tl
0.1465 0.8535 0.2500 Pd
0.3825 0.6175 0.0599 Pd
0.3825 0.6175 0.4401 Pd
0.6175 0.3825 0.5599 Pd
0.6175 0.3825 0.9401 Pd
0.8535 0.1465 0.7500 Pd
```

Crystal system = orthorhombic

# 5
A relaxed SrTl2Pd3 crystal. Source: Alexandria, functional PBE.

The structure in POSCAR format:
```
SrTl2Pd3
1.0
5.0823 -4.6794 0.0000
5.0823 4.6794 0.0000
0.0000 0.0000 6.0085
Sr Tl Pd
2 4 6
Direct
0.2265 0.7735 0.7500 Sr
0.7735 0.2265 0.2500 Sr
0.2642 0.2642 0.0000 Tl
0.2642 0.2642 0.5000 Tl
0.7358 0.7358 0.0000 Tl
0.7358 0.7358 0.5000 Tl
0.0457 0.5733 0.2500 Pd
0.4267 0.9543 0.2500 Pd
0.4431 0.5569 0.2500 Pd
0.5569 0.4431 0.7500 Pd
0.5733 0.0457 0.7500 Pd
0.9543 0.4267 0.7500 Pd
```

Crystal system = orthorhombic

# 6
A relaxed Sr3TlPd4 crystal. Source: Alexandria, functional PBE.

The structure in POSCAR format:
```
Sr3TlPd4
1.0
11.4355 0.0000 0.0000
0.0000 6.0025 0.0000
-0.0188 0.0000 11.6601
Sr Tl Pd
12 4 16
Direct
0.0038 0.1389 0.1543 Sr
0.0038 0.3611 0.6543 Sr
0.2503 0.6495 0.0515 Sr
0.2503 0.8505 0.5515 Sr
0.4960 0.1390 0.1543 Sr
0.4960 0.3610 0.6543 Sr
0.5040 0.6390 0.3457 Sr
0.5040 0.8610 0.8457 Sr
0.7497 0.1495 0.4485 Sr
0.7497 0.3505 0.9485 Sr
0.9962 0.6389 0.3457 Sr
0.9962 0.8611 0.8457 Sr
0.2500 0.1380 0.8117 Tl
0.2500 0.3620 0.3117 Tl
0.7500 0.6380 0.6883 Tl
0.7500 0.8620 0.1883 Tl
0.0625 0.1325 0.4224 Pd
0.0625 0.3675 0.9224 Pd
0.2497 0.1492 0.0619 Pd
0.2497 0.3508 0.5619 Pd
0.2501 0.6092 0.7778 Pd
0.2501 0.8908 0.2778 Pd
0.4377 0.1327 0.4221 Pd
0.4377 0.3673 0.9221 Pd
0.5623 0.6327 0.0779 Pd
0.5623 0.8673 0.5779 Pd
0.7499 0.1092 0.7222 Pd
0.7499 0.3908 0.2222 Pd
0.7503 0.6492 0.4381 Pd
0.7503 0.8508 0.9381 Pd
0.9375 0.6325 0.0776 Pd
0.9375 0.8675 0.5776 Pd
```

Crystal system = monoclinic

# 7
A relaxed Sr4Tl3Pd2 crystal. Source: Alexandria, functional PBE.

The structure in POSCAR format:
```
Sr4Tl3Pd2
1.0
8.6010 -2.2355 0.0000
8.6010 2.2355 0.0000
-2.8466 0.0000 7.4113
Sr Tl Pd
4 3 2
Direct
0.0721 0.0721 0.3541 Sr
0.2739 0.2739 0.8230 Sr
0.7261 0.7261 0.1770 Sr
0.9279 0.9279 0.6459 Sr
0.3965 0.3965 0.2958 Tl
0.5000 0.5000 0.0000 Tl
0.6035 0.6035 0.7042 Tl
0.1020 0.1020 0.9463 Pd
0.8980 0.8980 0.0537 Pd
```

Crystal system = monoclinic

# 8
A relaxed Sr3Tl2Pd4 crystal. Source: Alexandria, functional PBE.

The structure in POSCAR format:
```
Sr3Tl2Pd4
1.0
5.3782 -2.1806 0.0000
5.3782 2.1806 0.0000
-4.4032 0.0000 9.7523
Sr Tl Pd
3 2 4
Direct
0.0000 0.0000 0.0000 Sr
0.0916 0.0916 0.3809 Sr
0.9084 0.9084 0.6191 Sr
0.2579 0.2579 0.7946 Tl
0.7421 0.7421 0.2054 Tl
0.3336 0.3336 0.0913 Pd
0.3827 0.3827 0.3798 Pd
0.6173 0.6173 0.6202 Pd
0.6664 0.6664 0.9087 Pd
```

Crystal system = monoclinic
Distance to the lowest polymorph of the same formula = 52.0 meV per atom

# 9
A relaxed Sr6Tl2Pd crystal. Source: Alexandria, functional PBE.

The structure in POSCAR format:
```
Sr6Tl2Pd
1.0
7.3772 0.0000 0.0000
0.0000 9.1759 0.0000
-7.2648 0.0000 11.0473
Sr Tl Pd
12 4 2
Direct
0.0975 0.1631 0.4396 Sr
0.0975 0.3369 0.9396 Sr
0.2967 0.6927 0.4382 Sr
0.2967 0.8073 0.9382 Sr
0.3641 0.0365 0.2430 Sr
0.3641 0.4635 0.7430 Sr
0.6359 0.5365 0.2570 Sr
0.6359 0.9635 0.7570 Sr
0.7033 0.1927 0.0618 Sr
0.7033 0.3073 0.5618 Sr
0.9025 0.6631 0.0604 Sr
0.9025 0.8369 0.5604 Sr
0.2030 0.1154 0.7569 Tl
0.2030 0.3846 0.2569 Tl
0.7970 0.6154 0.7431 Tl
0.7970 0.8846 0.2431 Tl
0.5000 0.0000 0.5000 Pd
0.5000 0.5000 0.0000 Pd
```

Crystal system = monoclinic
Distance to the lowest polymorph of the same formula = 0.0 meV per atom

# 10
A relaxed SrTl4Pd5 crystal. Source: Alexandria, functional PBE.

The structure in POSCAR format:
```
SrTl4Pd5
1.0
8.4470 0.0000 0.0000
0.0000 10.5990 0.0000
0.0000 0.0000 4.9620
Sr Tl Pd
2 8 10
Direct
0.2500 0.2500 0.0403 Sr
0.7500 0.7500 0.9597 Sr
0.0305 0.7500 0.4960 Tl
0.2500 0.5284 0.7448 Tl
0.2500 0.9716 0.7448 Tl
0.4695 0.7500 0.4960 Tl
0.5305 0.2500 0.5040 Tl
0.7500 0.0284 0.2552 Tl
0.7500 0.4716 0.2552 Tl
0.9695 0.2500 0.5040 Tl
0.0822 0.5105 0.2455 Pd
0.0822 0.9895 0.2455 Pd
0.2500 0.7500 0.0591 Pd
0.4178 0.5105 0.2455 Pd
0.4178 0.9895 0.2455 Pd
0.5822 0.0105 0.7545 Pd
0.5822 0.4895 0.7545 Pd
0.7500 0.2500 0.9409 Pd
0.9178 0.0105 0.7545 Pd
0.9178 0.4895 0.7545 Pd
```

Crystal system = orthorhombic

# 11
A relaxed SrTlPd3 crystal. Source: Alexandria, functional PBE.

The structure in POSCAR format:
```
SrTlPd3
1.0
5.1270 0.0000 0.0000
0.0000 5.1270 0.0000
0.0000 0.0000 5.1270
Sr Tl Pd
1 1 3
Direct
0.0000 0.0000 0.0000 Sr
0.5000 0.5000 0.5000 Tl
0.0000 0.5000 0.5000 Pd
0.5000 0.0000 0.5000 Pd
0.5000 0.5000 0.0000 Pd
```

Crystal system = cubic
Distance to the lowest polymorph of the same formula = 437.3 meV per atom

# 12
A relaxed SrTl2Pd9 crystal. Source: Alexandria, functional PBE.

The structure in POSCAR format:
```
SrTl2Pd9
1.0
9.1044 0.0000 0.0000
0.0000 9.1044 0.0000
0.0000 0.0000 5.4285
Sr Tl Pd
2 4 18
Direct
0.0000 0.0000 0.0000 Sr
0.5000 0.5000 0.0000 Sr
0.1248 0.3752 0.0000 Tl
0.3752 0.8752 0.0000 Tl
0.6248 0.1248 0.0000 Tl
0.8752 0.6248 0.0000 Tl
0.0000 0.5000 0.5000 Pd
0.0625 0.2059 0.5000 Pd
0.1775 0.6775 0.2432 Pd
0.1775 0.6775 0.7568 Pd
0.2059 0.9375 0.5000 Pd
0.2941 0.4375 0.5000 Pd
0.3225 0.1775 0.2432 Pd
0.3225 0.1775 0.7568 Pd
0.4375 0.7059 0.5000 Pd
0.5000 0.0000 0.5000 Pd
0.5625 0.2941 0.5000 Pd
0.6775 0.8225 0.2432 Pd
0.6775 0.8225 0.7568 Pd
0.7059 0.5625 0.5000 Pd
0.7941 0.0625 0.5000 Pd
0.8225 0.3225 0.2432 Pd
0.8225 0.3225 0.7568 Pd
0.9375 0.7941 0.5000 Pd
```

Crystal system = tetragonal
Distance to the lowest polymorph of the same formula = 0.0 meV per atom

| no. | magnetic moment (μB per formula unit) | ΔE_f (eV/f.u.) | uncorrected energy (eV per atom) |
| --- | --- | --- | --- |
| 1 | 0.00 | -2.0 | -3.340 |
| 2 | 0.00 | -1.6 | -2.894 |
| 3 | 0.00 | -5.3 | -4.167 |
| 4 | 0.00 | -1.3 | -3.382 |
| 5 | 0.00 | -1.9 | -3.983 |
| 6 | 0.00 | -4.1 | -4.036 |
| 7 | 0.00 | -3.8 | -3.115 |
| 8 | 0.00 | -4.4 | -3.885 |
| 9 | 0.00 | -3.0 | -2.561 |
| 10 | 0.00 | -2.1 | -3.923 |
| 11 | 0.00 | 0.2 | -3.878 |
| 12 | 0.00 | -3.0 | -4.678 |